No. 1
## CsInTe2 (PBE)

Data for crystalline CsInTe2 at its relaxed geometry.

a = 8.197 Å, b = 9.687 Å, c = 4.519 Å
α = 81.71°, β = 89.98°, γ = 89.94°
Sites, in units of the cell vectors:
In1 0.415 0.255 0.679
In2 0.916 0.928 0.781
Cs1 0.427 0.784 0.527
Cs2 0.926 0.399 0.932
Te1 0.203 0.051 0.973
Te2 0.400 0.441 0.122
Te3 0.902 0.742 0.338
Te4 0.702 0.131 0.487

Output
As for the space group: P1 (1). The value obtained for the final energy is -25.1 eV/cell. As for the uncorrected formation energy: -671 meV/atom. As for the total magnetic moment: 0.00 μB per formula unit.

---

No. 2
## Pm2Al2ZnPt5 (PBE)

Data for crystalline Pm2Al2ZnPt5 at its relaxed geometry.

a = 3.340 Å, b = 10.430 Å, c = 10.430 Å
α = 90.00°, β = 90.00°, γ = 90.00°
Sites, in units of the cell vectors:
Pm1 0.000 0.324 0.824
Pm2 0.000 0.176 0.324
Pm3 0.000 0.676 0.176
Pm4 0.000 0.824 0.676
Al1 0.000 0.128 0.628
Al2 0.000 0.372 0.128
Al3 0.000 0.628 0.872
Al4 0.000 0.872 0.372
Pt1 0.500 0.055 0.801
Pt2 0.500 0.801 0.945
Pt3 0.500 0.555 0.699
Pt4 0.500 0.945 0.199
Pt5 0.500 0.500 0.000
Pt6 0.500 0.699 0.445
Pt7 0.500 0.301 0.555
Pt8 0.500 0.445 0.301
Pt9 0.500 0.199 0.055
Pt10 0.500 0.000 0.500
Zn1 0.000 0.500 0.500
Zn2 0.000 0.000 0.000

Output
As for the space group: P4/mbm (127). The value obtained for the final energy is -114.4 eV/cell. As for the total magnetic moment: 0.00 μB per formula unit.

---

No. 3
## Cs3K12Sr (PBE)

Data for crystalline Cs3K12Sr at its relaxed geometry.

a = 6.940 Å, b = 6.940 Å, c = 25.944 Å
α = 90.00°, β = 90.00°, γ = 90.00°
Sites, in units of the cell vectors:
K1 0.500 0.500 0.242
K2 0.500 0.000 0.889
K3 0.500 0.000 0.630
K4 0.000 0.500 0.889
K5 0.500 0.500 0.000
K6 0.500 0.000 0.111
K7 0.000 0.500 0.111
K8 0.000 0.500 0.370
K9 0.500 0.500 0.500
K10 0.000 0.500 0.630
K11 0.500 0.500 0.758
K12 0.500 0.000 0.370
Cs1 0.000 0.000 0.238
Cs2 0.000 0.000 0.762
Cs3 0.000 0.000 0.500
Sr1 0.000 0.000 0.000

Output
As for the space group: P4/mmm (123). The value obtained for the final energy is -16.8 eV/cell. As for the total magnetic moment: 0.00 μB per formula unit.

---

No. 4
## K2MoBr (PBE)

Data for crystalline K2MoBr at its relaxed geometry.

a = 5.997 Å, b = 5.997 Å, c = 5.997 Å
α = 60.00°, β = 60.00°, γ = 60.00°
Sites, in units of the cell vectors:
Br1 0.500 0.500 0.500
Mo1 0.750 0.750 0.750
K1 0.000 0.000 0.000
K2 0.250 0.250 0.250

Output
As for the space group: F-43m (216). The value obtained for the final energy is -11.9 eV/cell. As for the uncorrected formation energy: 688 meV/atom. For the energy relative to the lowest polymorph listed for this composition, the calculation gives 348.3 meV per atom. As for the total magnetic moment: 5.02 μB per formula unit.

---

No. 5
## Rb5Tl3F12 (PBE)

Data for crystalline Rb5Tl3F12 at its relaxed geometry.

a = 13.876 Å, b = 13.876 Å, c = 13.876 Å
α = 109.47°, β = 109.47°, γ = 109.47°
Sites, in units of the cell vectors:
Tl1 0.375 0.750 0.625
Tl2 0.625 0.250 0.375
Tl3 0.375 0.625 0.250
Tl4 0.250 0.625 0.875
Tl5 0.250 0.125 0.375
Tl6 0.875 0.750 0.125
Tl7 0.625 0.375 0.750
Tl8 0.125 0.250 0.875
Tl9 0.125 0.875 0.750
Tl10 0.750 0.375 0.125
Tl11 0.750 0.875 0.625
Tl12 0.875 0.125 0.250
F1 0.191 0.619 0.482
F2 0.708 0.691 0.571
F3 0.863 0.071 0.381
F4 0.982 0.691 0.619
F5 0.191 0.571 0.208
F6 0.482 0.119 0.191
F7 0.309 0.292 0.929
F8 0.809 0.381 0.518
F9 0.208 0.071 0.191
F10 0.018 0.708 0.137
F11 0.363 0.881 0.571
F12 0.881 0.363 0.071
F13 0.619 0.191 0.982
F14 0.292 0.982 0.363
F15 0.792 0.863 0.482
F16 0.637 0.518 0.708
F17 0.571 0.381 0.363
F18 0.071 0.863 0.881
F19 0.071 0.208 0.691
F20 0.119 0.482 0.691
F21 0.637 0.119 0.429
F22 0.518 0.881 0.809
F23 0.208 0.137 0.518
F24 0.381 0.809 0.018
F25 0.929 0.792 0.309
F26 0.881 0.518 0.309
F27 0.018 0.309 0.381
F28 0.691 0.982 0.119
F29 0.381 0.571 0.863
F30 0.809 0.429 0.792
F31 0.691 0.708 0.071
F32 0.863 0.792 0.982
F33 0.309 0.018 0.881
F34 0.137 0.208 0.018
F35 0.792 0.929 0.809
F36 0.708 0.018 0.637
F37 0.929 0.137 0.119
F38 0.429 0.619 0.637
F39 0.137 0.929 0.619
F40 0.429 0.809 0.292
F41 0.363 0.482 0.292
F42 0.292 0.309 0.429
F43 0.571 0.191 0.708
F44 0.482 0.363 0.792
F45 0.982 0.292 0.863
F46 0.518 0.637 0.208
F47 0.619 0.429 0.137
F48 0.119 0.637 0.929
Rb1 0.000 0.500 0.500
Rb2 0.500 0.500 0.500
Rb3 0.750 0.125 0.875
Rb4 0.875 0.625 0.750
Rb5 0.875 0.250 0.625
Rb6 0.625 0.750 0.875
Rb7 0.750 0.625 0.375
Rb8 0.375 0.250 0.125
Rb9 0.125 0.750 0.375
Rb10 0.375 0.125 0.750
Rb11 0.000 0.500 0.000
Rb12 0.500 0.000 0.500
Rb13 0.500 0.500 0.000
Rb14 0.250 0.875 0.125
Rb15 0.500 0.000 0.000
Rb16 0.625 0.875 0.250
Rb17 0.250 0.375 0.625
Rb18 0.000 0.000 0.500
Rb19 0.000 0.000 0.000
Rb20 0.125 0.375 0.250

Output
As for the space group: Ia-3d (230). The value obtained for the final energy is -311.1 eV/cell. As for the uncorrected formation energy: -2169 meV/atom. As for the total magnetic moment: 0.00 μB per formula unit.

---

No. 6
## Rb2GaAu2 (PBE)

Data for crystalline Rb2GaAu2 at its relaxed geometry.

a = 8.419 Å, b = 8.202 Å, c = 10.222 Å
α = 90.00°, β = 103.64°, γ = 90.00°
Sites, in units of the cell vectors:
Ga1 0.361 0.417 0.408
Ga2 0.639 0.583 0.592
Ga3 0.139 0.917 0.592
Ga4 0.861 0.083 0.408
Rb1 0.469 0.723 0.919
Rb2 0.531 0.277 0.081
Rb3 0.031 0.223 0.081
Rb4 0.969 0.777 0.919
Rb5 0.562 0.096 0.682
Rb6 0.438 0.904 0.318
Rb7 0.062 0.404 0.682
Rb8 0.938 0.596 0.318
Au1 0.770 0.945 0.165
Au2 0.171 0.175 0.438
Au3 0.270 0.555 0.165
Au4 0.730 0.445 0.835
Au5 0.671 0.325 0.438
Au6 0.230 0.055 0.835
Au7 0.329 0.675 0.562
Au8 0.829 0.825 0.562

Output
As for the space group: P2_1/c (14). The value obtained for the final energy is -51.5 eV/cell. For the energy relative to the lowest polymorph listed for this composition, the calculation gives 0.0 meV per atom. As for the total magnetic moment: 0.00 μB per formula unit.

---

No. 7
## Eu2HgBi (PBE)

Data for crystalline Eu2HgBi at its relaxed geometry.

a = 4.302 Å, b = 5.407 Å, c = 5.407 Å
α = 90.00°, β = 90.00°, γ = 90.00°
Sites, in units of the cell vectors:
Eu1 0.000 0.000 0.500
Eu2 0.000 0.500 0.000
Hg1 0.500 0.500 0.500
Bi1 0.500 0.000 0.000

Output
As for the space group: P4/mmm (123). The value obtained for the final energy is -27.6 eV/cell. For the energy relative to the lowest polymorph listed for this composition, the calculation gives 0.0 meV per atom. As for the total magnetic moment: 14.17 μB per formula unit.

---

No. 8
## Tl2As2PbO6 (PBE)

Data for crystalline Tl2As2PbO6 at its relaxed geometry.

a = 6.334 Å, b = 6.221 Å, c = 7.375 Å
α = 117.56°, β = 90.00°, γ = 120.60°
Sites, in units of the cell vectors:
O1 0.224 0.447 0.361
O2 0.776 0.553 0.639
O3 0.271 0.097 0.781
O4 0.826 0.097 0.781
O5 0.174 0.903 0.219
O6 0.729 0.903 0.219
As1 0.965 0.931 0.807
As2 0.035 0.069 0.193
Tl1 0.291 0.582 0.816
Tl2 0.709 0.418 0.184
Pb1 0.500 0.000 0.500

Output
As for the space group: C2/m (12). The value obtained for the final energy is -59.5 eV/cell. As for the uncorrected formation energy: -1088 meV/atom. As for the total magnetic moment: 0.00 μB per formula unit.

---

No. 9
## CeMgRuRh (PBE)

Data for crystalline CeMgRuRh at its relaxed geometry.

a = 3.542 Å, b = 4.348 Å, c = 4.606 Å
α = 90.00°, β = 90.00°, γ = 90.00°
Sites, in units of the cell vectors:
Mg1 0.000 0.500 0.500
Ru1 0.500 0.500 0.000
Rh1 0.500 0.000 0.500
Ce1 0.000 0.000 0.000

Output
As for the space group: Pmmm (47). The value obtained for the final energy is -26.2 eV/cell. For the energy relative to the lowest polymorph listed for this composition, the calculation gives 0.0 meV per atom. As for the total magnetic moment: 0.00 μB per formula unit.

---

Repeat the fifth record exactly.
## Rb5Tl3F12 (PBE)

Data for crystalline Rb5Tl3F12 at its relaxed geometry.

a = 13.876 Å, b = 13.876 Å, c = 13.876 Å
α = 109.47°, β = 109.47°, γ = 109.47°
Sites, in units of the cell vectors:
Tl1 0.375 0.750 0.625
Tl2 0.625 0.250 0.375
Tl3 0.375 0.625 0.250
Tl4 0.250 0.625 0.875
Tl5 0.250 0.125 0.375
Tl6 0.875 0.750 0.125
Tl7 0.625 0.375 0.750
Tl8 0.125 0.250 0.875
Tl9 0.125 0.875 0.750
Tl10 0.750 0.375 0.125
Tl11 0.750 0.875 0.625
Tl12 0.875 0.125 0.250
F1 0.191 0.619 0.482
F2 0.708 0.691 0.571
F3 0.863 0.071 0.381
F4 0.982 0.691 0.619
F5 0.191 0.571 0.208
F6 0.482 0.119 0.191
F7 0.309 0.292 0.929
F8 0.809 0.381 0.518
F9 0.208 0.071 0.191
F10 0.018 0.708 0.137
F11 0.363 0.881 0.571
F12 0.881 0.363 0.071
F13 0.619 0.191 0.982
F14 0.292 0.982 0.363
F15 0.792 0.863 0.482
F16 0.637 0.518 0.708
F17 0.571 0.381 0.363
F18 0.071 0.863 0.881
F19 0.071 0.208 0.691
F20 0.119 0.482 0.691
F21 0.637 0.119 0.429
F22 0.518 0.881 0.809
F23 0.208 0.137 0.518
F24 0.381 0.809 0.018
F25 0.929 0.792 0.309
F26 0.881 0.518 0.309
F27 0.018 0.309 0.381
F28 0.691 0.982 0.119
F29 0.381 0.571 0.863
F30 0.809 0.429 0.792
F31 0.691 0.708 0.071
F32 0.863 0.792 0.982
F33 0.309 0.018 0.881
F34 0.137 0.208 0.018
F35 0.792 0.929 0.809
F36 0.708 0.018 0.637
F37 0.929 0.137 0.119
F38 0.429 0.619 0.637
F39 0.137 0.929 0.619
F40 0.429 0.809 0.292
F41 0.363 0.482 0.292
F42 0.292 0.309 0.429
F43 0.571 0.191 0.708
F44 0.482 0.363 0.792
F45 0.982 0.292 0.863
F46 0.518 0.637 0.208
F47 0.619 0.429 0.137
F48 0.119 0.637 0.929
Rb1 0.000 0.500 0.500
Rb2 0.500 0.500 0.500
Rb3 0.750 0.125 0.875
Rb4 0.875 0.625 0.750
Rb5 0.875 0.250 0.625
Rb6 0.625 0.750 0.875
Rb7 0.750 0.625 0.375
Rb8 0.375 0.250 0.125
Rb9 0.125 0.750 0.375
Rb10 0.375 0.125 0.750
Rb11 0.000 0.500 0.000
Rb12 0.500 0.000 0.500
Rb13 0.500 0.500 0.000
Rb14 0.250 0.875 0.125
Rb15 0.500 0.000 0.000
Rb16 0.625 0.875 0.250
Rb17 0.250 0.375 0.625
Rb18 0.000 0.000 0.500
Rb19 0.000 0.000 0.000
Rb20 0.125 0.375 0.250

Output
As for the space group: Ia-3d (230). The value obtained for the final energy is -311.1 eV/cell. As for the uncorrected formation energy: -2169 meV/atom. As for the total magnetic moment: 0.00 μB per formula unit.